Rb2NaSbO4 PBE optimized geometry; symmetry = I-4, No. 82; ΔE_f (raw) = -1.564 eV/atom; N(E_F) = 0.00 states/eV/f.u.
1.0
-0.9507 -5.2001 -3.0484
3.8290 4.0444 -2.4939
3.0247 -0.3700 5.2870
Rb Na Sb O
2 1 1 4
Direct
0.5000 0.7500 0.2500
0.0000 0.0000 0.0000
0.5000 0.2500 0.7500
0.0000 0.5000 0.5000
0.6483 0.4197 0.4822
0.0626 0.2286 0.5803
0.9374 0.5178 0.1661
0.3517 0.8339 0.7714